1.
A plane-wave DFT calculation with PBE was carried out for a relaxed Ba2NbWI crystal.

a = 6.2452 Å, b = 5.1292 Å, c = 6.2452 Å
α = 90.00°, β = 90.00°, γ = 90.00°
Last column: nearest neighbours and their distance in Å.
Positions (direct):
I 0.0000 0.5000 0.0000  2 W 2.56
Nb 0.5000 0.5000 0.5000  8 Ba 4.04, 4 I 4.42
Ba 0.0000 0.0000 0.5000  2 W 3.12
Ba 0.5000 0.0000 0.0000  2 W 3.12
W 0.0000 0.0000 0.0000  2 I 2.56

**Calculated volume**: 40.01 A^3/atom
**Total magnetic moment**: 4.7 μB/f.u.
**ρ**: 5.630 g/cm³
**E_form (uncorrected)**: 1474.4 meV per atom


2.
A plane-wave DFT calculation with PBE was carried out for a relaxed BaNdI5 crystal.

a = 4.7851 Å, b = 9.4999 Å, c = 15.2032 Å
α = 92.72°, β = 90.00°, γ = 90.00°
Last column: nearest neighbours and their distance in Å.
Positions (direct):
Ba 0.7500 0.0844 0.1481  7 I 3.45-3.65
Ba 0.2500 0.9156 0.8519  7 I 3.45-3.65
Nd 0.2500 0.4192 0.3524  7 I 3.17-3.36
Nd 0.7500 0.5808 0.6476  7 I 3.17-3.36
I 0.2500 0.0858 0.3291  1 Nd 3.17
I 0.7500 0.1556 0.9246  3 Ba 3.45-3.50
I 0.7500 0.3267 0.4860  3 Nd 3.29-3.36
I 0.2500 0.3655 0.1450  1 Nd 3.17
I 0.2500 0.3830 0.7012  2 Nd 3.17
I 0.7500 0.6170 0.2988  2 Nd 3.17
I 0.7500 0.6345 0.8550  1 Nd 3.17
I 0.2500 0.6733 0.5140  3 Nd 3.29-3.36
I 0.2500 0.8444 0.0754  3 Ba 3.45-3.50
I 0.7500 0.9142 0.6709  1 Nd 3.17

**Calculated volume**: 49.31 A^3/atom
**Total magnetic moment**: 0.0 μB/f.u.
**ρ**: 4.407 g/cm³
**E_form (uncorrected)**: -1546.2 meV per atom